Record 1
DFT (PBE) results for an optimized crystal structure of Ho7Zn4Cd.

```
data_Ho7Zn4Cd
_chemical_formula_sum 'Ho14 Zn8 Cd2'
_space_group_name_H-M_alt 'C 1 2/m 1'
_space_group_IT_number 12
_cell_length_a 13.903
_cell_length_b 5.590
_cell_length_c 8.963
_cell_angle_alpha 90.00
_cell_angle_beta 119.75
_cell_angle_gamma 90.00
loop_
_space_group_symop_operation_xyz
'x,y,z'
'-x,-y,-z'
'-x,y,-z'
'x,-y,z'
'x+1/2,y+1/2,z'
'-x+1/2,-y+1/2,-z'
'-x+1/2,y+1/2,-z'
'x+1/2,-y+1/2,z'
loop_
_atom_site_label
_atom_site_type_symbol
_atom_site_fract_x
_atom_site_fract_y
_atom_site_fract_z
_atom_site_occupancy
Ho1 Ho 0.000 0.000 0.000 1
Ho2 Ho 0.077 0.500 0.410 1
Ho3 Ho 0.186 0.500 0.877 1
Ho4 Ho 0.224 0.000 0.684 1
Zn1 Zn 0.019 0.000 0.676 1
Zn2 Zn 0.186 0.000 0.336 1
Cd1 Cd 0.000 0.500 0.000 1
```

calculated total energy	-3.257	eV per atom


Record 2
DFT (PBE) results for an optimized crystal structure of TeAsS2Cl.

```
data_TeAsS2Cl
_chemical_formula_sum 'Te1 As1 S2 Cl1'
_space_group_name_H-M_alt 'P 4/m m m'
_space_group_IT_number 123
_space_group_name_Hall '-P 4 2'
_cell_length_a 5.164
_cell_length_b 5.164
_cell_length_c 5.112
_cell_angle_alpha 90.00
_cell_angle_beta 90.00
_cell_angle_gamma 90.00
loop_
_atom_site_label
_atom_site_type_symbol
_atom_site_fract_x
_atom_site_fract_y
_atom_site_fract_z
_atom_site_occupancy
Te1 Te 0.000 0.000 0.000 1
As1 As 0.500 0.500 0.500 1
S1 S 0.000 0.500 0.000 1
Cl1 Cl 0.000 0.000 0.500 1
```

E above lowest polymorph	29.7	kJ/mol of atoms
formation energy from raw total energies	0.684	eV per atom


Record 3
DFT (PBE) results for an optimized crystal structure of YMnZn2.

```
data_YMnZn2
_chemical_formula_sum 'Y4 Mn4 Zn8'
_space_group_name_H-M_alt 'I -4 2 d'
_space_group_IT_number 122
_space_group_name_Hall 'I -4 2bw'
_cell_length_a 4.210
_cell_length_b 4.210
_cell_length_c 17.913
_cell_angle_alpha 90.00
_cell_angle_beta 90.00
_cell_angle_gamma 90.00
loop_
_atom_site_label
_atom_site_type_symbol
_atom_site_fract_x
_atom_site_fract_y
_atom_site_fract_z
_atom_site_occupancy
Y1 Y 0.000 0.000 0.000 1
Mn1 Mn 0.000 0.000 0.500 1
Zn1 Zn 0.130 0.250 0.625 1
```

calculated total energy	-4.117	eV per atom